(1)
Below is a relaxed TbMgScZn crystal, with properties calculated at the GGA-PBE level.

POSCAR file:
```
TbMgScZn
1.0
-3.379 -1.051 -3.614
0.577 -4.117 -2.881
-3.143 -3.926 0.541
Sc Zn Tb Mg
1 1 1 1
direct
0.250 0.250 0.250 Sc
0.000 0.000 0.000 Zn
0.750 0.750 0.750 Tb
0.500 0.500 0.500 Mg
```

Output
As for the symmetry: F-43m (216). The value obtained for the spin magnetization is 0.00 μB per cell. Its theoretical density is 5329 kg/m³. The energy relative to the lowest polymorph listed for this composition is 33 meV/atom. The calculation puts the calculated formation energy at -0.17 eV/atom.

(2)
Below is a relaxed TbMgScZn crystal, with properties calculated at the GGA-PBE level.

POSCAR file:
```
TbMgScZn
1.0
-2.938 -1.584 -0.977
-0.271 -1.441 3.154
-4.054 6.034 2.408
Tb Mg Sc Zn
1 1 1 1
direct
0.500 0.500 0.794 Tb
0.000 0.000 0.092 Mg
0.500 0.500 0.352 Sc
0.000 0.000 0.546 Zn
```

Output
As for the symmetry: P4mm (99). The value obtained for the spin magnetization is 0.00 μB per cell. Its theoretical density is 5262 kg/m³. The energy relative to the lowest polymorph listed for this composition is 0 meV/atom. The calculation puts the calculated formation energy at -0.20 eV/atom.

(3)
Below is a relaxed TbMgSc2Zn4 crystal, with properties calculated at the GGA-PBE level.

POSCAR file:
```
TbMgSc2Zn4
1.0
-2.684 1.278 -3.707
-0.602 -2.993 -3.641
-7.572 -3.673 1.170
Tb Mg Sc Zn
1 1 2 4
direct
0.000 0.000 0.000 Tb
0.500 0.500 0.500 Mg
0.756 0.756 0.731 Sc
0.244 0.244 0.269 Sc
0.380 0.380 0.860 Zn
0.875 0.875 0.376 Zn
0.125 0.125 0.624 Zn
0.620 0.620 0.140 Zn
```

Output
As for the symmetry: R-3m (166). The value obtained for the spin magnetization is 0.00 μB per cell. Its theoretical density is 5648 kg/m³. The calculation puts the calculated formation energy at -0.30 eV/atom.

(4)
Below is a relaxed TbMgZrSc crystal, with properties calculated at the GGA-PBE level.

POSCAR file:
```
TbMgZrSc
1.0
3.326 0.006 0.270
-0.007 3.335 0.004
-0.741 -0.011 9.127
Tb Mg Zr Sc
1 1 1 1
direct
0.107 0.430 0.595 Tb
0.608 0.929 0.326 Mg
0.608 0.930 0.855 Zr
0.108 0.430 0.085 Sc
```

Output
As for the symmetry: P4mm (99). The value obtained for the spin magnetization is 0.00 μB per cell. Its theoretical density is 5206 kg/m³. The energy relative to the lowest polymorph listed for this composition is 0 meV/atom. The calculation puts the calculated formation energy at -0.02 eV/atom.

(5)
Below is a relaxed TbMgZrSc crystal, with properties calculated at the GGA-PBE level.

POSCAR file:
```
TbMgZrSc
1.0
5.204 0.000 0.000
2.602 4.507 0.000
2.602 1.502 4.249
Sc Mg Tb Zr
1 1 1 1
direct
0.250 0.250 0.250 Sc
0.750 0.750 0.750 Mg
0.500 0.500 0.500 Tb
0.000 0.000 0.000 Zr
```

Output
As for the symmetry: F-43m (216). The value obtained for the spin magnetization is 1.08 μB per cell. Its theoretical density is 5321 kg/m³. The energy relative to the lowest polymorph listed for this composition is 140 meV/atom. The calculation puts the calculated formation energy at 0.12 eV/atom.

(6)
Below is a relaxed Mg3Sc4Tc crystal, with properties calculated at the GGA-PBE level.

POSCAR file:
```
Mg3Sc4Tc
1.0
3.352 0.000 0.000
0.000 3.352 0.000
0.000 0.000 15.531
Sc Mg Tc
4 3 1
direct
0.000 0.000 0.904 Sc
0.000 0.000 0.096 Sc
0.000 0.000 0.368 Sc
0.000 0.000 0.632 Sc
0.500 0.500 0.235 Mg
0.500 0.500 0.500 Mg
0.500 0.500 0.765 Mg
0.500 0.500 0.000 Tc
```

Output
As for the symmetry: P4/mmm (123). The value obtained for the spin magnetization is 0.15 μB per cell. Its theoretical density is 3337 kg/m³. The calculation puts the calculated formation energy at -0.12 eV/atom.

(7)
Below is a relaxed Mg2Sc3Tc crystal, with properties calculated at the GGA-PBE level.

POSCAR file:
```
Mg2Sc3Tc
1.0
4.774 0.000 0.020
2.387 7.063 0.010
-0.032 0.000 7.562
Mg Sc Tc
4 6 2
direct
0.000 0.000 0.000 Mg
0.000 0.000 0.500 Mg
0.335 0.330 0.500 Mg
0.665 0.670 0.500 Mg
0.824 0.351 0.794 Sc
0.500 0.000 0.215 Sc
0.176 0.649 0.206 Sc
0.824 0.351 0.206 Sc
0.176 0.649 0.794 Sc
0.500 0.000 0.785 Sc
0.339 0.321 0.000 Tc
0.661 0.679 0.000 Tc
```

Output
As for the symmetry: Cmmm (65). The value obtained for the spin magnetization is 0.00 μB per cell. Its theoretical density is 3666 kg/m³. The calculation puts the calculated formation energy at -0.16 eV/atom.

(8)
Below is a relaxed MgSc2Tc2 crystal, with properties calculated at the GGA-PBE level.

POSCAR file:
```
MgSc2Tc2
1.0
7.625 0.000 0.000
0.000 7.625 0.000
0.000 0.000 3.348
Sc Mg Tc
4 2 4
direct
0.184 0.684 0.500 Sc
0.684 0.816 0.500 Sc
0.816 0.316 0.500 Sc
0.316 0.184 0.500 Sc
0.000 0.000 0.000 Mg
0.500 0.500 0.000 Mg
0.393 0.893 0.000 Tc
0.893 0.607 0.000 Tc
0.607 0.107 0.000 Tc
0.107 0.393 0.000 Tc
```

Output
As for the symmetry: P4/mbm (127). The value obtained for the spin magnetization is 0.00 μB per cell. Its theoretical density is 5292 kg/m³. The calculation puts the calculated formation energy at 0.01 eV/atom.

(9)
Below is a relaxed Mg4Sc5Tc crystal, with properties calculated at the GGA-PBE level.

POSCAR file:
```
Mg4Sc5Tc
1.0
-2.380 -1.336 1.996
0.269 -2.940 -1.648
13.596 -5.702 12.397
Mg Sc Tc
4 5 1
direct
0.000 0.000 0.186 Mg
0.000 0.000 0.396 Mg
0.000 0.000 0.604 Mg
0.000 0.000 0.814 Mg
0.500 0.500 0.076 Sc
0.500 0.500 0.292 Sc
0.500 0.500 0.500 Sc
0.500 0.500 0.708 Sc
0.500 0.500 0.924 Sc
0.000 0.000 0.000 Tc
```

Output
As for the symmetry: P4/mmm (123). The value obtained for the spin magnetization is 0.13 μB per cell. Its theoretical density is 3167 kg/m³. The calculation puts the calculated formation energy at -0.11 eV/atom.

(10)
Below is a relaxed Mg2ScTc2 crystal, with properties calculated at the GGA-PBE level.

POSCAR file:
```
Mg2ScTc2
1.0
7.708 0.000 0.000
0.000 7.708 0.000
0.000 0.000 3.107
Sc Mg Tc
2 4 4
direct
0.000 0.000 0.000 Sc
0.500 0.500 0.000 Sc
0.186 0.686 0.500 Mg
0.686 0.814 0.500 Mg
0.814 0.314 0.500 Mg
0.314 0.186 0.500 Mg
0.395 0.895 0.000 Tc
0.895 0.605 0.000 Tc
0.605 0.105 0.000 Tc
0.105 0.395 0.000 Tc
```

Output
As for the symmetry: P4/mbm (127). The value obtained for the spin magnetization is 0.51 μB per cell. Its theoretical density is 5210 kg/m³. The calculation puts the calculated formation energy at 0.23 eV/atom.

(11)
Below is a relaxed Mg3Sc6Tc crystal, with properties calculated at the GGA-PBE level.

POSCAR file:
```
Mg3Sc6Tc
1.0
4.972 0.000 0.000
0.000 8.627 -2.294
0.000 0.444 10.348
Mg Sc Tc
6 12 2
direct
0.250 0.529 0.401 Mg
0.750 0.471 0.599 Mg
0.250 0.381 0.777 Mg
0.750 0.619 0.223 Mg
0.250 0.767 0.000 Mg
0.750 0.233 0.000 Mg
0.250 0.444 0.093 Sc
0.750 0.556 0.907 Sc
0.250 0.121 0.174 Sc
0.750 0.879 0.826 Sc
0.250 0.698 0.695 Sc
0.750 0.302 0.305 Sc
0.250 0.202 0.485 Sc
0.750 0.798 0.515 Sc
0.250 0.860 0.334 Sc
0.750 0.140 0.666 Sc
0.250 0.081 0.860 Sc
0.750 0.919 0.140 Sc
0.250 0.958 0.605 Tc
0.750 0.042 0.395 Tc
```

Output
As for the symmetry: P2_1/m (11). The value obtained for the spin magnetization is 0.04 μB per cell. Its theoretical density is 3260 kg/m³. The calculation puts the calculated formation energy at -0.08 eV/atom.

(12)
Below is a relaxed Mg2Sc5Tc crystal, with properties calculated at the GGA-PBE level.

POSCAR file:
```
Mg2Sc5Tc
1.0
4.563 0.000 -1.254
-0.345 4.550 -1.254
-0.117 -0.126 8.502
Mg Sc Tc
2 5 1
direct
0.748 0.748 0.497 Mg
0.252 0.252 0.503 Mg
0.500 0.500 0.000 Sc
0.889 0.389 0.778 Sc
0.389 0.889 0.778 Sc
0.111 0.611 0.222 Sc
0.611 0.111 0.222 Sc
0.000 0.000 0.000 Tc
```

Output
As for the symmetry: I4/mmm (139). The value obtained for the spin magnetization is 0.00 μB per cell. Its theoretical density is 3523 kg/m³. The calculation puts the calculated formation energy at -0.06 eV/atom.

(13)
Below is a relaxed MgSc6Tc crystal, with properties calculated at the GGA-PBE level.

POSCAR file:
```
MgSc6Tc
1.0
-4.723 1.665 0.543
-3.873 -2.929 -1.340
-3.099 -3.490 7.119
Mg Sc Tc
1 6 1
direct
0.500 0.500 0.500 Mg
0.636 0.636 0.091 Sc
0.105 0.105 0.685 Sc
0.895 0.895 0.315 Sc
0.364 0.364 0.909 Sc
0.236 0.236 0.293 Sc
0.764 0.764 0.707 Sc
0.000 0.000 0.000 Tc
```

Output
As for the symmetry: R-3m (166). The value obtained for the spin magnetization is 0.00 μB per cell. Its theoretical density is 3703 kg/m³. The calculation puts the calculated formation energy at -0.01 eV/atom.

(14)
Below is a relaxed Mg2Sc3Tc2 crystal, with properties calculated at the GGA-PBE level.

POSCAR file:
```
Mg2Sc3Tc2
1.0
-3.301 1.564 -2.073
0.398 -2.212 -2.302
-8.163 -5.920 4.278
Mg Sc Tc
2 3 2
direct
0.581 0.500 0.838 Mg
0.419 0.500 0.162 Mg
0.837 0.000 0.327 Sc
0.000 0.000 0.000 Sc
0.163 0.000 0.673 Sc
0.723 0.500 0.554 Tc
0.277 0.500 0.446 Tc
```

Output
As for the symmetry: Cmmm (65). The value obtained for the spin magnetization is 0.27 μB per cell. Its theoretical density is 4338 kg/m³. The calculation puts the calculated formation energy at 0.00 eV/atom.

(15)
Below is a relaxed Mg3ScTc crystal, with properties calculated at the GGA-PBE level.

POSCAR file:
```
Mg3ScTc
1.0
4.939 0.000 0.000
0.000 4.939 0.000
0.000 0.000 4.939
Sc Mg Tc
1 3 1
direct
0.500 0.500 0.500 Sc
0.000 0.500 0.000 Mg
0.000 0.000 0.500 Mg
0.500 0.000 0.000 Mg
0.000 0.000 0.000 Tc
```

Output
As for the symmetry: Pm-3m (221). The value obtained for the spin magnetization is 0.00 μB per cell. Its theoretical density is 2974 kg/m³. The energy relative to the lowest polymorph listed for this composition is 0 meV/atom. The calculation puts the calculated formation energy at 0.62 eV/atom.

(16)
Below is a relaxed MgSc8Tc2 crystal, with properties calculated at the GGA-PBE level.

POSCAR file:
```
MgSc8Tc2
1.0
4.815 0.059 -1.442
-0.848 5.898 -2.550
-0.107 0.056 8.398
Mg Sc Tc
1 8 2
direct
0.137 0.967 0.909 Mg
0.637 0.271 0.909 Sc
0.966 0.016 0.569 Sc
0.306 0.356 0.250 Sc
0.750 0.936 0.136 Sc
0.343 0.862 0.322 Sc
0.929 0.449 0.496 Sc
0.138 0.528 0.909 Sc
0.523 0.709 0.682 Sc
0.802 0.620 0.243 Tc
0.468 0.287 0.576 Tc
```

Output
As for the symmetry: Cm (8). The value obtained for the spin magnetization is 0.00 μB per cell. Its theoretical density is 4033 kg/m³. The calculation puts the calculated formation energy at -0.08 eV/atom.

(17)
Below is a relaxed MgScTiTc crystal, with properties calculated at the GGA-PBE level.

POSCAR file:
```
MgScTiTc
1.0
-1.098 4.503 0.085
-2.757 1.650 3.341
1.746 2.749 3.299
Sc Mg Tc Ti
1 1 1 1
direct
0.750 0.750 0.750 Sc
0.500 0.500 0.500 Mg
0.000 0.000 0.000 Tc
0.250 0.250 0.250 Ti
```

Output
As for the symmetry: F-43m (216). The value obtained for the spin magnetization is 0.00 μB per cell. Its theoretical density is 5072 kg/m³. The calculation puts the calculated formation energy at -0.10 eV/atom.

(18)
Below is a relaxed YMg2ScTc crystal, with properties calculated at the GGA-PBE level.

POSCAR file:
```
YMg2ScTc
1.0
-0.021 1.583 -5.202
-4.475 1.277 0.406
1.560 4.985 1.511
Y Sc Mg Tc
1 1 2 1
direct
0.000 0.000 0.000 Y
0.500 0.500 0.500 Sc
0.000 0.000 0.500 Mg
0.500 0.000 0.000 Mg
0.000 0.500 0.000 Tc
```

Output
As for the symmetry: P4/mmm (123). The value obtained for the spin magnetization is 0.00 μB per cell. Its theoretical density is 3372 kg/m³. The calculation puts the calculated formation energy at 1.22 eV/atom.

(19)
Below is a relaxed Mg2ScTe crystal, with properties calculated at the GGA-PBE level.

POSCAR file:
```
Mg2ScTe
1.0
-3.911 -3.469 3.353
1.606 -5.407 2.602
1.631 5.972 -0.506
Mg Sc Te
2 1 1
direct
0.008 0.008 0.000 Mg
0.492 0.492 0.000 Mg
0.750 0.250 0.500 Sc
0.250 0.750 0.500 Te
```

Output
As for the symmetry: Immm (71). The value obtained for the spin magnetization is 0.00 μB per cell. Its theoretical density is 3896 kg/m³. The raw formation energy comes out at -400 meV/atom.

(20)
Below is a relaxed Mg2ScTe crystal, with properties calculated at the GGA-PBE level.

POSCAR file:
```
Mg2ScTe
1.0
-0.784 -2.375 -3.088
3.421 1.088 -1.704
2.807 -4.510 2.756
Mg Sc Te
2 1 1
direct
0.000 0.000 0.007 Mg
0.000 0.000 0.493 Mg
0.500 0.500 0.250 Sc
0.500 0.500 0.750 Te
```

Output
As for the symmetry: P4/mmm (123). The value obtained for the spin magnetization is 0.00 μB per cell. Its theoretical density is 3887 kg/m³. The raw formation energy comes out at -306 meV/atom.

(21)
Below is a relaxed MgSc2Te crystal, with properties calculated at the GGA-PBE level.

POSCAR file:
```
MgSc2Te
1.0
9.389 0.000 0.000
8.666 3.612 0.000
8.666 1.734 3.169
Mg Sc Te
1 2 1
direct
0.759 0.759 0.759 Mg
0.998 0.998 0.998 Sc
0.240 0.240 0.240 Sc
0.502 0.502 0.502 Te
```

Output
As for the symmetry: R3m (160). The value obtained for the spin magnetization is 1.28 μB per cell. Its theoretical density is 3736 kg/m³. The energy relative to the lowest polymorph listed for this composition is 257 meV/atom. The raw formation energy comes out at -242 meV/atom.

(22)
Below is a relaxed MgSc2Te crystal, with properties calculated at the GGA-PBE level.

POSCAR file:
```
MgSc2Te
1.0
3.768 0.000 0.000
1.884 3.263 0.000
1.884 1.088 8.564
Mg Sc Te
1 2 1
direct
0.500 0.500 0.501 Mg
0.074 0.074 0.778 Sc
0.259 0.259 0.222 Sc
0.667 0.667 0.998 Te
```

Output
As for the symmetry: R3m (160). The value obtained for the spin magnetization is 0.17 μB per cell. Its theoretical density is 3814 kg/m³. The energy relative to the lowest polymorph listed for this composition is 129 meV/atom. The raw formation energy comes out at -370 meV/atom.

(23)
Below is a relaxed MgSc2Te crystal, with properties calculated at the GGA-PBE level.

POSCAR file:
```
MgSc2Te
1.0
5.139 0.000 0.000
2.570 4.451 0.000
2.570 1.484 4.196
Mg Sc Te
1 2 1
direct
0.500 0.500 0.500 Mg
0.000 0.000 0.000 Sc
0.250 0.250 0.250 Sc
0.750 0.750 0.750 Te
```

Output
As for the symmetry: F-43m (216). The value obtained for the spin magnetization is 1.58 μB per cell. Its theoretical density is 4184 kg/m³. The energy relative to the lowest polymorph listed for this composition is 489 meV/atom. The raw formation energy comes out at -10 meV/atom.

(24)
Below is a relaxed Mg2ScTe crystal, with properties calculated at the GGA-PBE level.

POSCAR file:
```
Mg2ScTe
1.0
-0.983 5.313 -1.495
-3.567 4.182 1.106
2.061 3.194 3.437
Mg Sc Te
2 1 1
direct
0.990 0.990 0.956 Mg
0.748 0.748 0.779 Mg
0.516 0.516 0.431 Sc
0.246 0.246 0.334 Te
```

Output
As for the symmetry: Cm (8). The value obtained for the spin magnetization is 0.00 μB per cell. Its theoretical density is 3804 kg/m³. The raw formation energy comes out at -370 meV/atom.

(25)
Below is a relaxed MgScTe2 crystal, with properties calculated at the GGA-PBE level.

POSCAR file:
```
MgScTe2
1.0
-1.569 -2.336 5.315
-1.082 -3.573 -1.890
3.894 -1.450 0.512
Sc Mg Te
1 1 2
direct
0.500 0.875 0.875 Sc
0.000 0.375 0.375 Mg
0.000 0.875 0.875 Te
0.500 0.375 0.375 Te
```

Output
As for the symmetry: P4/mmm (123). The value obtained for the spin magnetization is 0.00 μB per cell. Its theoretical density is 5114 kg/m³. The raw formation energy comes out at -929 meV/atom.

(26)
Below is a relaxed MgSc2Te crystal, with properties calculated at the GGA-PBE level.

POSCAR file:
```
MgSc2Te
1.0
5.189 0.019 -0.013
-1.371 5.005 -0.013
0.013 0.017 3.595
Mg Sc Te
1 2 1
direct
0.000 0.500 0.500 Mg
0.000 0.000 0.000 Sc
0.500 0.500 0.000 Sc
0.500 0.000 0.500 Te
```

Output
As for the symmetry: C2/m (12). The value obtained for the spin magnetization is 0.93 μB per cell. Its theoretical density is 4296 kg/m³. The energy relative to the lowest polymorph listed for this composition is 108 meV/atom. The raw formation energy comes out at -391 meV/atom.